Entry 1:
PBE CsK2NbO4, optimized geometry; crystal system = tetragonal; energy relative to the elements, uncorrected = -2.1595 eV per atom; magnetic moment = 0.1 μB/f.u.; space-group type = I-42m, No. 121
1.0
6.553 0.272 0.000
-0.272 6.553 0.000
-3.140 -3.413 4.220
Cs K Nb O
1 2 1 4
direct
0.000 0.000 0.000
0.750 0.250 0.500
0.250 0.750 0.500
0.500 0.500 0.000
0.542 0.542 0.748
0.458 0.794 0.252
0.794 0.458 0.252
0.206 0.206 0.748

Entry 2:
PBE TbPrGeAu, optimized geometry; crystal system = cubic; formation enthalpy at 0 K = -719 meV per atom; magnetic moment = 0.8 μB/f.u.; space-group type = F-43m, No. 216
1.0
-4.640 0.720 2.226
-3.904 -3.276 -1.013
-1.657 -3.282 3.672
Pr Tb Ge Au
1 1 1 1
direct
0.500 0.500 0.500
0.000 0.000 0.000
0.250 0.250 0.250
0.750 0.750 0.750